(1)
MnPN3 | PBE | optimized geometry

Its total DFT energy (no corrections) is -0.26239 Ha/atom. The crystal system is cubic. The value obtained for the total magnetization is 3.15 μB/f.u. The value obtained for the uncorrected formation energy is 17.781 kcal/mol of atoms. The value obtained for the density is 5.06 g cm⁻³.

It has space group Pm-3m (No. 221), with a = 3.476 Å, b = 3.476 Å, c = 3.476 Å, α = 90.00°, β = 90.00° and γ = 90.00°. The asymmetric unit holds Mn at (0.000, 0.000, 0.000), P at (0.500, 0.500, 0.500) and N at (0.000, 0.500, 0.500).

(2)
CaMn2Pt | PBE | optimized geometry

Its total DFT energy (no corrections) is -0.21801 Ha/atom. The crystal system is cubic. The value obtained for the total magnetization is 0.00 μB/f.u. The value obtained for the density is 9.50 g cm⁻³. The value obtained for the formation energy is 2.7 eV/f.u.

It has space group Fm-3m (No. 225), with a = 6.225 Å, b = 6.225 Å, c = 6.225 Å, α = 90.00°, β = 90.00° and γ = 90.00°. The asymmetric unit holds Ca at (0.000, 0.000, 0.000), Mn at (0.250, 0.250, 0.250) and Pt at (0.000, 0.000, 0.500).

(3)
TaTl2Zn | PBE | optimized geometry

Its total DFT energy (no corrections) is -0.14344 Ha/atom. The crystal system is orthorhombic. The value obtained for the total magnetization is 0.00 μB/f.u. The value obtained for the density is 12.51 g cm⁻³. As for the energy above the lowest structure with this stoichiometry: 210 meV/atom. The value obtained for the formation energy is 2.2 eV/f.u.

It has space group Pmmm (No. 47), with a = 3.038 Å, b = 5.274 Å, c = 5.427 Å, α = 90.00°, β = 90.00° and γ = 90.00°. The asymmetric unit holds Ta at (0.000, 0.000, 0.000), Tl at (0.000, 0.500, 0.500), Tl at (0.500, 0.500, 0.000) and Zn at (0.500, 0.000, 0.500).

(4)
Er6Tm4Zr | PBE | optimized geometry

Its total DFT energy (no corrections) is -0.17404 Ha/atom. The crystal system is tetragonal. The value obtained for the total magnetization is 1.29 μB/f.u. The value obtained for the density is 8.98 g cm⁻³. The value obtained for the formation energy is 1.7 eV/f.u.

It has space group P4/mnc (No. 128), with a = 8.650 Å, b = 8.650 Å, c = 8.749 Å, α = 90.00°, β = 90.00° and γ = 90.00°. The asymmetric unit holds Er at (0.000, 0.000, 0.174), Er at (0.151, 0.347, 0.500), Tm at (0.146, 0.646, 0.250) and Zr at (0.000, 0.000, 0.500).

(5)
Zn2PtW | PBE | optimized geometry

Its total DFT energy (no corrections) is -0.20202 Ha/atom. The crystal system is tetragonal. The value obtained for the total magnetization is 0.00 μB/f.u. The value obtained for the density is 14.02 g cm⁻³. As for the energy above the lowest structure with this stoichiometry: 0 meV/atom. The value obtained for the formation energy is -0.4 eV/f.u.

It has space group P4mm (No. 99), with a = 2.777 Å, b = 2.777 Å, c = 7.832 Å, α = 90.00°, β = 90.00° and γ = 90.00°. The asymmetric unit holds Zn at (0.000, 0.000, 0.000), Zn at (0.500, 0.500, 0.252), Pt at (0.000, 0.000, 0.497) and W at (0.500, 0.500, 0.748).

(6)
Sm2AlNi16 | PBE | optimized geometry

Its total DFT energy (no corrections) is -0.21388 Ha/atom. The crystal system is trigonal. The value obtained for the total magnetization is 4.45 μB/f.u. The value obtained for the density is 8.60 g cm⁻³. The value obtained for the formation energy is -4.9 eV/f.u.

It has space group R3m (No. 160, hexagonal axes), with a = 8.3332 Å, b = 8.3332 Å, c = 12.2077 Å, α = 90.00°, β = 90.00° and γ = 120.00°. The asymmetric unit holds Sm at (0.0000, 0.0000, 0.0000), Sm at (0.0000, 0.0000, 0.3130), Al at (0.0000, 0.0000, 0.7432), Ni at (0.0000, 0.0000, 0.5522), Ni at (0.0000, 0.2945, 0.6534), Ni at (0.0035, 0.5018, 0.4983), Ni at (0.1678, 0.3356, 0.1427) and Ni at (0.1679, 0.3358, 0.4876).

(7)
Sr2SmSi3Au12 | PBE | optimized geometry

Its total DFT energy (no corrections) is -0.13746 Ha/atom. The crystal system is trigonal. The value obtained for the total magnetization is 0.00 μB/f.u. The value obtained for the uncorrected formation energy is -4.676 kcal/mol of atoms. The value obtained for the density is 10.36 g cm⁻³.

It has space group R-3m (No. 166, hexagonal axes), with a = 8.9061 Å, b = 8.9061 Å, c = 19.4141 Å, α = 90.00°, β = 90.00° and γ = 120.00°. The asymmetric unit holds Sr at (0.0000, 0.0000, 0.0972), Sm at (0.0000, 0.0000, 0.5000), Si at (0.0000, 0.5000, 0.0000), Au at (0.0313, 0.5157, 0.8731) and Au at (0.0339, 0.5170, 0.3297).

(8)
BaLi2Hg | PBE | optimized geometry

Its total DFT energy (no corrections) is -0.05840 Ha/atom. The crystal system is tetragonal. The value obtained for the total magnetization is 0.00 μB/f.u. The value obtained for the density is 4.49 g cm⁻³. The value obtained for the formation energy is -0.3 eV/f.u.

It has space group P4/mmm (No. 123), with a = 4.763 Å, b = 4.763 Å, c = 5.730 Å, α = 90.00°, β = 90.00° and γ = 90.00°. The asymmetric unit holds Ba at (0.000, 0.000, 0.000), Li at (0.000, 0.500, 0.500) and Hg at (0.500, 0.500, 0.000).

(9)
Sn5Bi3Se12 | PBE | optimized geometry

Its total DFT energy (no corrections) is -0.14410 Ha/atom. The crystal system is cubic. The value obtained for the total magnetization is 0.00 μB/f.u. The value obtained for the uncorrected formation energy is -5.708 kcal/mol of atoms. The value obtained for the density is 5.87 g cm⁻³.

It has space group Ia-3d (No. 230), with a = 16.988 Å, b = 16.988 Å, c = 16.988 Å, α = 90.00°, β = 90.00° and γ = 90.00°. The asymmetric unit holds Sn at (0.000, 0.000, 0.000), Sn at (0.000, 0.250, 0.375), Bi at (0.000, 0.250, 0.125) and Se at (0.023, 0.067, 0.654).

(10)
Pm2YNbN4 | PBE | optimized geometry

Its total DFT energy (no corrections) is -0.32268 Ha/atom. The crystal system is monoclinic. The value obtained for the total magnetization is 0.00 μB/f.u. The value obtained for the uncorrected formation energy is -31.446 kcal/mol of atoms. The value obtained for the density is 7.66 g cm⁻³.

It has space group P2/m (No. 10), with a = 5.925 Å, b = 3.416 Å, c = 5.979 Å, α = 90.00°, β = 108.97° and γ = 90.00°. The asymmetric unit holds Pm at (0.000, 0.000, 0.000), Pm at (0.500, 0.500, 0.000), Y at (0.000, 0.500, 0.500), Nb at (0.500, 0.000, 0.500), N at (0.262, 0.000, 0.725) and N at (0.273, 0.500, 0.279).

(11)
Nd4Tc | PBE | optimized geometry

Its total DFT energy (no corrections) is -0.20911 Ha/atom. The crystal system is cubic. The value obtained for the total magnetization is 0.62 μB/f.u. The value obtained for the density is 6.59 g cm⁻³. The value obtained for the formation energy is 1.0 eV/f.u.

It has space group Pm-3m (No. 221), with a = 5.539 Å, b = 5.539 Å, c = 5.539 Å, α = 90.00°, β = 90.00° and γ = 90.00°. The asymmetric unit holds Nd at (0.000, 0.000, 0.000), Nd at (0.000, 0.500, 0.500) and Tc at (0.500, 0.500, 0.500).

(12)
Ni2OsPb | PBE | optimized geometry

Its total DFT energy (no corrections) is -0.22565 Ha/atom. The crystal system is monoclinic. The value obtained for the total magnetization is 0.00 μB/f.u. The value obtained for the density is 13.75 g cm⁻³. The value obtained for the formation energy is 1.9 eV/f.u.

It has space group P2/m (No. 10), with a = 2.840 Å, b = 3.591 Å, c = 6.095 Å, α = 90.00°, β = 90.16° and γ = 90.00°. The asymmetric unit holds Ni at (0.001, 0.000, 0.200), Os at (0.500, 0.500, 0.000) and Pb at (0.500, 0.500, 0.500).